Material: Ta2SiBr
Method: DFT, PBE-GGA
State: optimized geometry

Structure (POSCAR):
```
Ta2SiBr
1.0
-4.619 -0.336 -1.704
-2.783 -2.423 -3.276
-1.984 -3.634 2.508
Br Si Ta
1 1 2
Direct
0.504 0.504 0.473
0.737 0.737 0.820
0.005 0.005 0.927
0.254 0.254 0.279
```

Computed properties:
polymorph energy (0 for the lowest one)	0.151	eV/atom
spin magnetization	0.00	μB/atom
energy relative to the elements, uncorrected	0.246	eV per atom
SG	Cm, No. 8

---

Material: Ta2SiBr
Method: DFT, PBE-GGA
State: optimized geometry

Structure (POSCAR):
```
Ta2SiBr
1.0
-2.004 -4.599 -1.018
2.863 -2.560 -3.383
1.103 2.432 4.366
Br Si Ta
1 1 2
Direct
0.500 0.500 0.000
0.750 0.250 0.500
0.000 0.000 0.000
0.250 0.750 0.500
```

Computed properties:
polymorph energy (0 for the lowest one)	0.513	eV/atom
spin magnetization	0.00	μB/atom
energy relative to the elements, uncorrected	0.608	eV per atom
SG	I-4m2, No. 119

---

Material: TaSiBr2
Method: DFT, PBE-GGA
State: optimized geometry

Structure (POSCAR):
```
TaSiBr2
1.0
0.000 3.337 3.337
3.337 0.000 3.337
3.337 3.337 0.000
Si Br Ta
1 2 1
Direct
0.000 0.000 0.000
0.250 0.250 0.250
0.750 0.750 0.750
0.500 0.500 0.500
```

Computed properties:
polymorph energy (0 for the lowest one)	1.063	eV/atom
spin magnetization	0.00	μB/atom
energy relative to the elements, uncorrected	0.761	eV per atom
SG	Fm-3m, No. 225

---

Material: Ta2SiBr
Method: DFT, PBE-GGA
State: optimized geometry

Structure (POSCAR):
```
Ta2SiBr
1.0
-6.807 7.198 -0.025
-8.445 4.997 1.362
-6.563 6.783 3.012
Br Si Ta
1 1 2
Direct
0.516 0.516 0.516
0.738 0.738 0.738
0.999 0.999 0.999
0.248 0.248 0.248
```

Computed properties:
polymorph energy (0 for the lowest one)	0.059	eV/atom
spin magnetization	0.00	μB/atom
energy relative to the elements, uncorrected	0.154	eV per atom
SG	R3m, No. 160